The following is a DFT calculation (PBE-GGA) of a relaxed structure of Pm3Sn2Rh7.

Formation enthalpy at 0 K: -0.620 eV/atom
Total magnetic moment: 0.00 μB/cell
V: 19.3 A^3/atom
DFT total energy: -6.763 eV/atom
Space-group type: No. 166

Lattice parameters (Å, degrees): 5.626 5.626 9.037 71.86 71.86 60.00
Fractional coordinates of all 12 atoms:
Pm 0.000 0.000 0.000
Pm 0.860 0.860 0.420
Pm 0.140 0.140 0.580
Sn 0.666 0.666 0.003
Sn 0.334 0.334 0.997
Rh 0.500 0.500 0.500
Rh 0.918 0.415 0.253
Rh 0.415 0.918 0.253
Rh 0.415 0.415 0.253
Rh 0.082 0.585 0.747
Rh 0.585 0.585 0.747
Rh 0.585 0.082 0.747